Computed, not measured: a geometry-optimized LiZr2Ta structure at the GGA-PBEsol level of DFT.

Cell and atoms, written as POSCAR:
```
LiZr2Ta
1.0
3.037 0.000 0.000
0.000 3.852 0.000
0.000 0.000 6.454
Li Zr Ta
1 2 1
Direct
0.000 0.000 0.000 Li
0.000 0.000 0.475 Zr
0.500 0.500 0.753 Zr
0.500 0.500 0.226 Ta
```

Values from the calculation:
DFT formation energy   0.309 eV per atom
Total moment   0.000 μB per cell
Excess energy over the best structure of this formula in the dataset   0.008 eV/atom